Record 1
Material: NaTlAuSe2
Method: DFT, PBE
State: relaxed

Final energy: -3.223 eV per atom
E_form (uncorrected): -0.437 eV/atom
Mass density: 7.1 g cm⁻³

a = 7.0759 Å, b = 5.0864 Å, c = 8.1873 Å
α = 90.00°, β = 112.32°, γ = 90.00°
Positions (direct):
Na: 0.0000 0.2193 0.2500
Na: 0.0000 0.7807 0.7500
Tl: 0.5000 0.4084 0.7500
Tl: 0.5000 0.5916 0.2500
Au: 0.5000 0.0000 0.0000
Au: 0.5000 0.0000 0.5000
Se: 0.2073 0.2820 0.9836
Se: 0.2073 0.7180 0.4836
Se: 0.7927 0.2820 0.5164
Se: 0.7927 0.7180 0.0164

Record 2
Material: Na2UAuSe4
Method: DFT, PBE
State: relaxed

Final energy: -4.655 eV per atom
E_form (uncorrected): -0.762 eV/atom
Mass density: 7.1 g cm⁻³

a = 6.2477 Å, b = 6.2477 Å, c = 6.2477 Å
α = 107.26°, β = 107.26°, γ = 114.00°
Positions (direct):
Na: 0.0000 0.5000 0.5000
Na: 0.5000 0.0000 0.5000
U: 0.0000 0.0000 0.0000
Au: 0.5000 0.5000 0.0000
Se: 0.0576 0.0576 0.6026
Se: 0.4551 0.4551 0.3974
Se: 0.5449 0.9424 0.0000
Se: 0.9424 0.5449 0.0000

Record 3
Material: Na2VAuSe4
Method: DFT, PBE
State: relaxed

Final energy: -4.264 eV per atom
E_form (uncorrected): -0.643 eV/atom
Mass density: 5.4 g cm⁻³

a = 6.3017 Å, b = 6.3017 Å, c = 6.3017 Å
α = 104.32°, β = 104.32°, γ = 120.35°
Positions (direct):
Na: 0.0000 0.5000 0.5000
Na: 0.5000 0.0000 0.5000
V: 0.0000 0.0000 0.0000
Au: 0.5000 0.5000 0.0000
Se: 0.0336 0.3869 0.0000
Se: 0.3869 0.0336 0.0000
Se: 0.6131 0.6131 0.6468
Se: 0.9664 0.9664 0.3532

Record 4
Material: NaY2AuSe
Method: DFT, PBE
State: relaxed

Final energy: -4.455 eV per atom
E_form (uncorrected): -0.253 eV/atom
Mass density: 5.3 g cm⁻³

a = 5.4104 Å, b = 5.4104 Å, c = 5.1220 Å
α = 90.00°, β = 90.00°, γ = 90.00°
Positions (direct):
Na: 0.0000 0.0000 0.0000
Y: 0.0000 0.5000 0.5000
Y: 0.5000 0.0000 0.5000
Au: 0.5000 0.5000 0.0000
Se: 0.5000 0.5000 0.5000

Record 5
Material: NaYAuSe2
Method: DFT, PBE
State: relaxed

Final energy: -4.633 eV per atom
E_form (uncorrected): -1.027 eV/atom
Mass density: 5.9 g cm⁻³

a = 6.9429 Å, b = 4.9671 Å, c = 7.7360 Å
α = 90.00°, β = 96.75°, γ = 90.00°
Positions (direct):
Na: 0.0000 0.0967 0.2500
Na: 0.0000 0.9033 0.7500
Y: 0.5000 0.4946 0.7500
Y: 0.5000 0.5054 0.2500
Au: 0.5000 0.0000 0.0000
Au: 0.5000 0.0000 0.5000
Se: 0.2176 0.3403 0.9734
Se: 0.2176 0.6597 0.4734
Se: 0.7824 0.3403 0.5266
Se: 0.7824 0.6597 0.0266

Record 6
Material: Na3Zr3AuSe8
Method: DFT, PBE
State: relaxed

Final energy: -5.130 eV per atom
E_form (uncorrected): -1.080 eV/atom
Mass density: 5.2 g cm⁻³

a = 7.7437 Å, b = 7.7437 Å, c = 8.2292 Å
α = 116.51°, β = 116.51°, γ = 62.80°
Positions (direct):
Na: 0.0000 0.0000 0.0000
Na: 0.0000 0.5000 0.0000
Na: 0.5000 0.0000 0.0000
Zr: 0.0000 0.5000 0.5000
Zr: 0.5000 0.0000 0.5000
Zr: 0.5000 0.5000 0.5000
Au: 0.0000 0.0000 0.5000
Se: 0.2283 0.2283 0.7095
Se: 0.2567 0.2567 0.2744
Se: 0.2592 0.7107 0.7293
Se: 0.2893 0.7408 0.2707
Se: 0.7107 0.2592 0.7293
Se: 0.7408 0.2893 0.2707
Se: 0.7433 0.7433 0.7256
Se: 0.7717 0.7717 0.2905